No. 1
Computed, not measured: a crystal of Li3P relaxed with PBEsol at the SCAN level of DFT.

## Properties
Formation energy from the elements (eV/f.u.): -3.19
Theoretical density (g/cm3): 1.50

Cell lengths 4.1990, 4.1990, 7.4987 Å; angles 90.00, 90.00, 120.00 degrees
Closest atoms and distances in Å follow each position.
Space group P6_3/mmc (No. 194)
Asymmetric unit:
Li 0.0000 0.0000 0.2500 (multiplicity 2)  3 P 2.42
Li 0.3333 0.6667 0.0841 (multiplicity 4)  7 Li 2.49-2.73, 4 P 2.50-2.73
P 0.3333 0.6667 0.7500 (multiplicity 2)  5 Li 2.42-2.50



No. 2
Computed, not measured: a crystal of TlTcSb2 relaxed with PBEsol at the SCAN level of DFT.

## Properties
Energy relative to the lowest polymorph listed for this composition (meV per atom): 48
Formation energy from raw total energies (kJ/mol of formula units): 28
Theoretical density (g/cm3): 9.73

Cell lengths 3.2742, 3.2742, 30.0984 Å; angles 90.00, 90.00, 120.00 degrees
Closest atoms and distances in Å follow each position.
Space group R-3m (No. 166, hexagonal axes)
Asymmetric unit:
Tl 0.0000 0.0000 0.0000 (multiplicity 3)  6 Tl 3.27, 6 Sb 3.61
Tc 0.0000 0.0000 0.5000 (multiplicity 3)  6 Sb 2.71
Sb 0.0000 0.0000 0.2311 (multiplicity 6)  3 Tc 2.71



No. 3
Computed, not measured: a crystal of ScCu2PtC relaxed with PBEsol at the SCAN level of DFT.

## Properties
Formation energy from the elements (eV/f.u.): 11.99
Theoretical density (g/cm3): 6.39

Cell lengths 4.6033, 4.6033, 4.6490 Å; angles 90.00, 90.00, 90.00 degrees
Closest atoms and distances in Å follow each position.
Space group P4/mmm (No. 123)
Asymmetric unit:
Sc 0.0000 0.0000 0.0000 (multiplicity 1)  4 Cu 2.30, 2 Pt 2.32
Cu 0.0000 0.5000 0.0000 (multiplicity 2)  2 Sc 2.30
Pt 0.0000 0.0000 0.5000 (multiplicity 1)  2 Sc 2.32
C 0.5000 0.5000 0.5000 (multiplicity 1)  4 Pt 3.26, 8 Cu 3.27



No. 4
Computed, not measured: a crystal of Be3Tl relaxed with PBEsol at the SCAN level of DFT.

## Properties
Energy relative to the lowest polymorph listed for this composition (meV per atom): 0
Formation energy from the elements (eV/f.u.): 2.06
Theoretical density (g/cm3): 7.42

Cell lengths 5.7284, 9.8649, 3.6646 Å; angles 90.00, 90.00, 90.00 degrees
Closest atoms and distances in Å follow each position.
Space group Cmcm (No. 63)
Asymmetric unit:
Be 0.0000 0.1298 0.2500 (multiplicity 4)  6 Be 2.20-2.23
Be 0.1912 0.0637 0.7500 (multiplicity 8)  6 Be 2.19-2.23
Tl 0.0000 0.3340 0.7500 (multiplicity 4)  12 Be 2.72-2.89



No. 5
Computed, not measured: a crystal of BaLiS2O relaxed with PBEsol at the SCAN level of DFT.

## Properties
Formation energy from raw total energies (kJ/mol of formula units): -521
Theoretical density (g/cm3): 4.02

Cell lengths 4.8705, 4.8705, 3.9061 Å; angles 90.00, 90.00, 90.00 degrees
Closest atoms and distances in Å follow each position.
Space group P4/mmm (No. 123)
Asymmetric unit:
Ba 0.0000 0.0000 0.0000 (multiplicity 1)  8 S 3.12, 4 Li 3.44
Li 0.5000 0.5000 0.0000 (multiplicity 1)  2 O 1.95
S 0.0000 0.5000 0.5000 (multiplicity 2)  2 O 2.44
O 0.5000 0.5000 0.5000 (multiplicity 1)  2 Li 1.95



No. 6
Computed, not measured: a crystal of SbMo2Cl relaxed with PBEsol at the SCAN level of DFT.

## Properties
Energy relative to the lowest polymorph listed for this composition (meV per atom): 862
Formation energy from raw total energies (kJ/mol of formula units): 278
Theoretical density (g/cm3): 8.55

Cell lengths 2.9932, 5.3589, 8.4569 Å; angles 90.00, 90.00, 90.00 degrees
Closest atoms and distances in Å follow each position.
Space group Immm (No. 71)
Asymmetric unit:
Sb 0.0000 0.0000 0.0000 (multiplicity 2)  4 Mo 2.75, 2 Sb 2.99, 4 Cl 3.07
Mo 0.0000 0.5000 0.2270 (multiplicity 4)  2 Cl 2.43
Cl 0.0000 0.0000 0.5000 (multiplicity 2)  4 Mo 2.43



No. 7
Computed, not measured: a crystal of ScAl2Si relaxed with PBEsol at the SCAN level of DFT.

## Properties
Formation energy from raw total energies (kJ/mol of formula units): -147
Theoretical density (g/cm3): 3.26

Cell lengths 3.8706, 3.8706, 8.6346 Å; angles 90.00, 90.00, 90.00 degrees
Closest atoms and distances in Å follow each position.
Space group I-4m2 (No. 119)
Asymmetric unit:
Sc 0.0000 0.0000 0.0000 (multiplicity 2)  8 Al 2.74-2.90, 4 Si 2.90
Al 0.0000 0.0000 0.5000 (multiplicity 2)  4 Sc 2.74, 4 Al 2.90, 4 Si 2.90
Al 0.0000 0.5000 0.2500 (multiplicity 2)  4 Si 2.74, 4 Sc 2.90, 4 Al 2.90
Si 0.0000 0.5000 0.7500 (multiplicity 2)  8 Al 2.74-2.90, 4 Sc 2.90



No. 8
Computed, not measured: a crystal of BeCoRu2 relaxed with PBEsol at the SCAN level of DFT.

## Properties
Formation energy from the elements (eV/f.u.): -0.21
Theoretical density (g/cm3): 10.20

Cell lengths 2.6543, 2.6543, 6.2386 Å; angles 90.00, 90.00, 90.00 degrees
Closest atoms and distances in Å follow each position.
Space group P4mm (No. 99)
Asymmetric unit:
Be 0.0000 0.0000 0.0000 (multiplicity 1)  4 Co 2.23, 4 Ru 2.41
Co 0.5000 0.5000 0.1930 (multiplicity 1)  4 Be 2.23
Ru 0.0000 0.0000 0.4677 (multiplicity 1)  4 Co 2.54, 8 Ru 2.61-2.65
Ru 0.5000 0.5000 0.7588 (multiplicity 1)  4 Be 2.41, 8 Ru 2.61-2.65



No. 9
Computed, not measured: a crystal of ZnIr2Os relaxed with PBEsol at the SCAN level of DFT.

## Properties
Formation energy from the elements (eV/f.u.): -0.19
Theoretical density (g/cm3): 19.11

Cell lengths 2.7207, 2.7207, 26.0245 Å; angles 90.00, 90.00, 120.00 degrees
Closest atoms and distances in Å follow each position.
Space group R-3m (No. 166, hexagonal axes)
Asymmetric unit:
Zn 0.0000 0.0000 0.0000 (multiplicity 3)  6 Ir 2.68, 6 Zn 2.72
Ir 0.0000 0.0000 0.2499 (multiplicity 6)  3 Os 2.68, 3 Zn 2.68, 6 Ir 2.72
Os 0.0000 0.0000 0.5000 (multiplicity 3)  6 Ir 2.68, 6 Os 2.72



No. 10
Computed, not measured: a crystal of ZnFeBi2 relaxed with PBEsol at the SCAN level of DFT.

## Properties
Formation energy from the elements (eV/f.u.): 1.90
Theoretical density (g/cm3): 8.83

Cell lengths 5.0340, 5.0340, 16.0032 Å; angles 90.00, 90.00, 90.00 degrees
Closest atoms and distances in Å follow each position.
Space group I-42d (No. 122)
Asymmetric unit:
Zn 0.0000 0.0000 0.0000 (multiplicity 4)  4 Bi 2.74
Fe 0.0000 0.0000 0.5000 (multiplicity 4)  4 Bi 2.62
Bi 0.2227 0.2500 0.6250 (multiplicity 8)  2 Fe 2.62, 2 Zn 2.74



No. 11
Computed, not measured: a crystal of ZrGa2SnHg relaxed with PBEsol at the SCAN level of DFT.

## Properties
Formation energy from the elements (eV/f.u.): 3.51
Theoretical density (g/cm3): 6.61

Cell lengths 5.0066, 5.0066, 5.5140 Å; angles 90.00, 90.00, 90.00 degrees
Closest atoms and distances in Å follow each position.
Space group P4/mmm (No. 123)
Asymmetric unit:
Zr 0.0000 0.0000 0.0000 (multiplicity 1)  2 Sn 2.76
Ga 0.0000 0.5000 0.5000 (multiplicity 2)  2 Sn 2.50
Sn 0.0000 0.0000 0.5000 (multiplicity 1)  4 Ga 2.50, 2 Zr 2.76
Hg 0.5000 0.5000 0.0000 (multiplicity 1)  4 Zr 3.54, 8 Ga 3.72



No. 12
Computed, not measured: a crystal of KSrZnNi2 relaxed with PBEsol at the SCAN level of DFT.

## Properties
Formation energy from the elements (eV/f.u.): 8.21
Theoretical density (g/cm3): 4.24

Cell lengths 4.6951, 4.6951, 5.4983 Å; angles 90.00, 90.00, 90.00 degrees
Closest atoms and distances in Å follow each position.
Space group P4/mmm (No. 123)
Asymmetric unit:
K 0.0000 0.0000 0.0000 (multiplicity 1)  4 Ni 2.35
Sr 0.0000 0.0000 0.5000 (multiplicity 1)  2 K 2.75
Zn 0.5000 0.5000 0.5000 (multiplicity 1)  4 Sr 3.32, 8 Ni 3.62
Ni 0.0000 0.5000 0.0000 (multiplicity 2)  2 K 2.35